Here is crystalline ScSi2NiI at its relaxed geometry from Alexandria via LeMat-Bulk. Energies are from GGA-PBE.

* density: 3.7 g/cm3
* space group: No. 123
* formation energy (no corrections): 1.006 eV per atom

Cell lengths 5.274, 5.274, 4.624 Å; angles 90.00, 90.00, 90.00 degrees
Fractional positions:
Sc 0.000 0.000 0.000
Si 0.000 0.500 0.000
Si 0.500 0.000 0.000
Ni 0.000 0.000 0.500
I 0.500 0.500 0.500